Density functional theory data (PBE-GGA) for a relaxed structure of CsCaZnO2.

Cell: 7.982 6.076 6.851 Å, 90.00 111.38 90.00°
Atoms (fractional coordinates):
Cs 0.000 0.224 0.250
Cs 0.000 0.776 0.750
Ca 0.500 0.497 0.750
Ca 0.500 0.503 0.250
Zn 0.500 0.000 0.000
Zn 0.500 0.000 0.500
O 0.402 0.276 0.457
O 0.402 0.724 0.957
O 0.598 0.276 0.043
O 0.598 0.724 0.543

Values from the calculation:
**DFT total energy**: -4.361 eV per atom
**Formation energy (no corrections)**: -1.551 eV/atom
**Total moment**: 0.00 μB per formula unit

=====

Density functional theory data (PBE-GGA) for a relaxed structure of CsCa3Os.

Cell: 5.788 5.788 5.788 Å, 90.00 90.00 90.00°
Atoms (fractional coordinates):
Cs 0.000 0.000 0.000
Ca 0.000 0.500 0.500
Ca 0.500 0.000 0.500
Ca 0.500 0.500 0.000
Os 0.500 0.500 0.500

Values from the calculation:
**ΔH_f (0 K)**: 0.39 eV per atom
**DFT total energy**: -3.232 eV per atom
**Distance to the lowest polymorph of the same formula**: 0 meV per atom
**Total moment**: 0.00 μB per formula unit

=====

Density functional theory data (PBE-GGA) for a relaxed structure of CsCa3Os.

Cell: 5.529 5.529 5.529 Å, 90.00 90.00 90.00°
Atoms (fractional coordinates):
Cs 0.000 0.000 0.000
Ca 0.000 0.000 0.500
Ca 0.000 0.500 0.000
Ca 0.500 0.000 0.000
Os 0.500 0.500 0.500

Values from the calculation:
**ΔH_f (0 K)**: 2.11 eV per atom
**DFT total energy**: -1.505 eV per atom
**Distance to the lowest polymorph of the same formula**: 1727 meV per atom
**Total moment**: 0.00 μB per formula unit

=====

Density functional theory data (PBE-GGA) for a relaxed structure of CsCaOs2.

Cell: 4.573 4.573 20.982 Å, 90.00 90.00 90.00°
Atoms (fractional coordinates):
Cs 0.000 0.000 0.000
Cs 0.000 0.500 0.250
Cs 0.500 0.000 0.750
Cs 0.500 0.500 0.500
Ca 0.000 0.000 0.500
Ca 0.000 0.500 0.750
Ca 0.500 0.000 0.250
Ca 0.500 0.500 0.000
Os 0.106 0.250 0.625
Os 0.250 0.606 0.875
Os 0.250 0.894 0.375
Os 0.394 0.250 0.125
Os 0.606 0.750 0.125
Os 0.750 0.106 0.375
Os 0.750 0.394 0.875
Os 0.894 0.750 0.625

Values from the calculation:
**ΔH_f (0 K)**: 1.36 eV per atom
**DFT total energy**: -4.970 eV per atom
**Distance to the lowest polymorph of the same formula**: 0 meV per atom
**Total moment**: 0.00 μB per formula unit

=====

Density functional theory data (PBE-GGA) for a relaxed structure of CsCaOs3.

Cell: 4.986 4.986 4.986 Å, 90.00 90.00 90.00°
Atoms (fractional coordinates):
Cs 0.000 0.000 0.000
Ca 0.500 0.500 0.500
Os 0.000 0.000 0.500
Os 0.000 0.500 0.000
Os 0.500 0.000 0.000

Values from the calculation:
**ΔH_f (0 K)**: 3.21 eV per atom
**DFT total energy**: -4.095 eV per atom
**Total moment**: 2.37 μB per formula unit

=====

Density functional theory data (PBE-GGA) for a relaxed structure of Cs2CaOs2.

Cell: 10.432 10.432 3.239 Å, 90.00 90.00 90.00°
Atoms (fractional coordinates):
Cs 0.202 0.298 0.000
Cs 0.298 0.798 0.000
Cs 0.702 0.202 0.000
Cs 0.798 0.702 0.000
Ca 0.000 0.000 0.000
Ca 0.500 0.500 0.000
Os 0.075 0.575 0.500
Os 0.425 0.075 0.500
Os 0.575 0.925 0.500
Os 0.925 0.425 0.500

Values from the calculation:
**ΔH_f (0 K)**: 1.59 eV per atom
**DFT total energy**: -3.647 eV per atom
**Total moment**: 0.00 μB per formula unit

=====

Density functional theory data (PBE-GGA) for a relaxed structure of CsCaOs2.

Cell: 7.044 7.044 7.044 Å, 90.00 90.00 90.00°
Atoms (fractional coordinates):
Cs 0.000 0.000 0.000
Cs 0.000 0.500 0.500
Cs 0.500 0.000 0.500
Cs 0.500 0.500 0.000
Ca 0.000 0.000 0.500
Ca 0.000 0.500 0.000
Ca 0.500 0.000 0.000
Ca 0.500 0.500 0.500
Os 0.250 0.250 0.250
Os 0.250 0.250 0.750
Os 0.250 0.750 0.250
Os 0.250 0.750 0.750
Os 0.750 0.250 0.250
Os 0.750 0.250 0.750
Os 0.750 0.750 0.250
Os 0.750 0.750 0.750

Values from the calculation:
**ΔH_f (0 K)**: 2.03 eV per atom
**DFT total energy**: -4.298 eV per atom
**Distance to the lowest polymorph of the same formula**: 671 meV per atom
**Total moment**: 0.00 μB per formula unit

=====

Density functional theory data (PBE-GGA) for a relaxed structure of Cs2Ca2Os.

Cell: 7.777 7.777 7.101 Å, 90.00 90.00 90.00°
Atoms (fractional coordinates):
Cs 0.199 0.301 0.000
Cs 0.301 0.801 0.000
Cs 0.699 0.199 0.000
Cs 0.801 0.699 0.000
Ca 0.186 0.686 0.500
Ca 0.314 0.186 0.500
Ca 0.686 0.814 0.500
Ca 0.814 0.314 0.500
Os 0.000 0.000 0.500
Os 0.500 0.500 0.500

Values from the calculation:
**ΔH_f (0 K)**: 0.74 eV per atom
**DFT total energy**: -2.644 eV per atom
**Total moment**: 0.41 μB per formula unit